Material: SiB2Sb
Method: DFT, GGA-PBE
State: optimized geometry

Results
As for the formation energy without anion corrections: 1.51 eV/atom. For the density of states at the Fermi level, the calculation gives 0.42 states/eV per atom. The polymorph energy (0 for the lowest one) is 1147.1 meV/atom. Its symmetry is No. 225. The value obtained for the electronic total energy is -16.86 eV per formula unit.

Lattice parameters (Å, degrees): 4.230 4.230 4.230 60.00 60.00 60.00
Positions (direct):
Sb 0.500 0.500 0.500
Si 0.000 0.000 0.000
B 0.250 0.250 0.250
B 0.750 0.750 0.750